No. 1
# YNb2NO5

A geometry-optimized YNb2NO5 structure (PBEsol, Alexandria via LeMat-Bulk).

Values from the calculation:
Uncorrected energy: -345.50 eV for the cell shown
ΔE to the lowest computed polymorph: 0.04 eV/f.u.
Energy relative to the elements, uncorrected: -2571 meV per atom
Magnetic moment: 0.0 Bohr magnetons per cell
Symmetry: No. 7

```
YNb2NO5
1.0
5.259 0.012 0.000
-0.021 5.625 0.000
0.000 0.000 14.944
O Nb Y N
20 8 4 4
Direct
0.649 0.873 0.990
0.969 0.558 0.342
0.534 0.064 0.840
0.352 0.127 0.510
0.649 0.373 0.010
0.872 0.853 0.510
0.920 0.921 0.165
0.144 0.638 0.007
0.352 0.627 0.490
0.077 0.583 0.667
0.423 0.581 0.835
0.534 0.564 0.160
0.144 0.138 0.993
0.423 0.081 0.165
0.920 0.421 0.835
0.462 0.939 0.659
0.969 0.058 0.658
0.077 0.083 0.333
0.462 0.439 0.341
0.872 0.353 0.490
0.182 0.804 0.584
0.678 0.694 0.413
0.309 0.817 0.912
0.823 0.181 0.914
0.678 0.194 0.587
0.823 0.681 0.086
0.182 0.304 0.416
0.309 0.317 0.088
0.746 0.735 0.751
0.248 0.764 0.250
0.248 0.264 0.750
0.746 0.235 0.249
0.035 0.944 0.842
0.035 0.444 0.158
0.579 0.924 0.337
0.579 0.424 0.663
```

***

No. 2
# Ca2ScMo

A geometry-optimized Ca2ScMo structure (PBEsol, Alexandria via LeMat-Bulk).

Values from the calculation:
Uncorrected energy: -19.87 eV for the cell shown
ΔE to the lowest computed polymorph: 0.16 eV/f.u.
Magnetic moment: 0.0 Bohr magnetons per cell
Symmetry: No. 139
Formation energy from the elements: 0.6928 eV/atom

```
Ca2ScMo
1.0
-0.465 4.385 -0.243
-0.828 -0.327 -4.326
-4.118 -2.482 3.230
Ca Sc Mo
2 1 1
Direct
0.250 0.750 0.500
0.750 0.250 0.500
0.000 0.000 0.000
0.500 0.500 0.000
```

***

No. 3
# La4MgOs

A geometry-optimized La4MgOs structure (PBEsol, Alexandria via LeMat-Bulk).

Values from the calculation:
Uncorrected energy: -30.40 eV for the cell shown
Magnetic moment: 0.0 Bohr magnetons per cell
Symmetry: No. 216
Formation energy from the elements: 0.8204 eV/atom

```
La4MgOs
1.0
-3.905 -4.628 0.974
-1.875 -3.470 -4.696
1.934 -5.799 -0.492
La Os Mg
4 1 1
Direct
0.373 0.880 0.373
0.373 0.373 0.373
0.880 0.373 0.373
0.373 0.373 0.880
0.000 0.000 0.000
0.750 0.750 0.750
```